No. 1
This record from Alexandria describes Tb2Er12Pu after structural relaxation. The functional is PBE-GGA.

a = 6.343 Å, b = 6.343 Å, c = 24.442 Å
α = 90.00°, β = 90.00°, γ = 90.00°
Element x y z (fractional)
Tb 0.250 0.750 0.228
Tb 0.250 0.750 0.772
Tb 0.750 0.250 0.228
Tb 0.750 0.250 0.772
Er 0.065 0.565 0.390
Er 0.065 0.935 0.610
Er 0.081 0.581 0.939
Er 0.081 0.919 0.061
Er 0.250 0.250 0.162
Er 0.250 0.250 0.289
Er 0.250 0.250 0.711
Er 0.250 0.250 0.838
Er 0.419 0.581 0.061
Er 0.419 0.919 0.939
Er 0.435 0.565 0.610
Er 0.435 0.935 0.390
Er 0.565 0.065 0.610
Er 0.565 0.435 0.390
Er 0.581 0.081 0.061
Er 0.581 0.419 0.939
Er 0.750 0.750 0.162
Er 0.750 0.750 0.289
Er 0.750 0.750 0.711
Er 0.750 0.750 0.838
Er 0.919 0.081 0.939
Er 0.919 0.419 0.061
Er 0.935 0.065 0.390
Er 0.935 0.435 0.610
Pu 0.250 0.750 0.500
Pu 0.750 0.250 0.500

- volume (Å³/cell) = 983
- energy of formation from the pure elements (meV/atom) = 546
- DOS at the Fermi energy (states/eV per atom) = 2.33

No. 2
This record from Alexandria describes DyEr2Rh9 after structural relaxation. The functional is PBE-GGA.

a = 9.261 Å, b = 9.261 Å, c = 9.261 Å
α = 32.90°, β = 32.90°, γ = 32.90°
Element x y z (fractional)
Dy 0.000 0.000 0.000
Er 0.139 0.139 0.139
Er 0.861 0.861 0.861
Rh 0.082 0.583 0.583
Rh 0.333 0.333 0.333
Rh 0.417 0.417 0.918
Rh 0.417 0.918 0.417
Rh 0.500 0.500 0.500
Rh 0.583 0.082 0.583
Rh 0.583 0.583 0.082
Rh 0.667 0.667 0.667
Rh 0.918 0.417 0.417

- volume (Å³/cell) = 208
- energy of formation from the pure elements (meV/atom) = -579
- DOS at the Fermi energy (states/eV per atom) = 1.07

No. 3
This record from Alexandria describes YSi5 after structural relaxation. The functional is PBE-GGA.

a = 4.947 Å, b = 12.308 Å, c = 3.454 Å
α = 90.00°, β = 90.00°, γ = 90.00°
Element x y z (fractional)
Y 0.000 0.000 0.000
Y 0.500 0.500 0.000
Si 0.000 0.204 0.500
Si 0.000 0.350 0.000
Si 0.000 0.500 0.500
Si 0.000 0.650 0.000
Si 0.000 0.796 0.500
Si 0.500 0.000 0.500
Si 0.500 0.150 0.000
Si 0.500 0.296 0.500
Si 0.500 0.704 0.500
Si 0.500 0.850 0.000

- volume (Å³/cell) = 210
- DOS at the Fermi energy (states/eV per atom) = 0.65
- offset from the most stable computed form (kJ per mole of atoms) = 9.0
- energy relative to the elements, uncorrected (eV per atom) = 0.06

No. 4
This record from Alexandria describes Cr2CoSnC after structural relaxation. The functional is PBE-GGA.

a = 3.952 Å, b = 3.952 Å, c = 3.902 Å
α = 90.00°, β = 90.00°, γ = 90.00°
Element x y z (fractional)
Cr 0.000 0.500 0.000
Cr 0.500 0.000 0.000
Co 0.000 0.000 0.500
Sn 0.500 0.500 0.500
C 0.000 0.000 0.000

- volume (Å³/cell) = 61
- energy of formation from the pure elements (meV/atom) = 50
- DOS at the Fermi energy (states/eV per atom) = 1.06